No. 1
The following is a DFT calculation (PBE) of CrAs after structural relaxation. Values from VASP.

Results
Crystal system: cubic

Quantum ESPRESSO input file:
```
&SYSTEM
  ibrav = 0, nat = 16, ntyp = 2
/
ATOMIC_SPECIES
As 74.92 As.upf
Cr 52.00 Cr.upf
CELL_PARAMETERS angstrom
7.3427 0.0000 0.0000
0.0000 7.3427 0.0000
0.0000 0.0000 7.3427
ATOMIC_POSITIONS crystal
As 0.3049 0.3049 0.3049
Cr 0.3873 0.3873 0.6127
Cr 0.6127 0.3873 0.3873
Cr 0.8873 0.1127 0.8873
As 0.1951 0.1951 0.8049
As 0.8049 0.1951 0.1951
Cr 0.1127 0.1127 0.1127
As 0.8049 0.8049 0.8049
As 0.6951 0.6951 0.3049
As 0.6951 0.3049 0.6951
As 0.3049 0.6951 0.6951
Cr 0.8873 0.8873 0.1127
Cr 0.1127 0.8873 0.8873
As 0.1951 0.8049 0.1951
Cr 0.3873 0.6127 0.3873
Cr 0.6127 0.6127 0.6127
```

No. 2
The following is a DFT calculation (PBE) of CrAs after structural relaxation. Values from VASP.

Results
Crystal system: hexagonal

Quantum ESPRESSO input file:
```
&SYSTEM
  ibrav = 0, nat = 8, ntyp = 2
/
ATOMIC_SPECIES
Cr 52.00 Cr.upf
As 74.92 As.upf
CELL_PARAMETERS angstrom
-2.4504 2.4811 -1.0271
0.0635 -3.2632 -1.6008
-7.5202 -4.0948 8.0492
ATOMIC_POSITIONS crystal
Cr 0.3333 0.6667 0.1245
As 0.3333 0.6667 0.7500
As 0.0000 0.0000 0.0000
Cr 0.3333 0.6667 0.3755
As 0.0000 0.0000 0.5000
Cr 0.6667 0.3333 0.8755
As 0.6667 0.3333 0.2500
Cr 0.6667 0.3333 0.6245
```

No. 3
The following is a DFT calculation (PBE) of Cr8As after structural relaxation. Values from VASP.

Results
Crystal system: tetragonal

Quantum ESPRESSO input file:
```
&SYSTEM
  ibrav = 0, nat = 9, ntyp = 2
/
ATOMIC_SPECIES
Cr 52.00 Cr.upf
As 74.92 As.upf
CELL_PARAMETERS angstrom
4.5452 -3.1094 0.6528
-5.4233 -0.4738 1.0566
-0.2929 -0.2602 -5.5317
ATOMIC_POSITIONS crystal
Cr 0.3375 0.0000 0.3375
Cr 0.3357 0.3357 0.6714
Cr 0.3357 0.6643 0.0000
Cr 0.6643 0.3357 0.0000
As 0.0000 0.0000 0.0000
Cr 0.0000 0.3375 0.3375
Cr 0.6643 0.6643 0.3286
Cr 0.6625 0.0000 0.6625
Cr 0.0000 0.6625 0.6625
```

No. 4
The following is a DFT calculation (PBE) of CrAs3 after structural relaxation. Values from VASP.

Results
Crystal system: orthorhombic

Quantum ESPRESSO input file:
```
&SYSTEM
  ibrav = 0, nat = 4, ntyp = 2
/
ATOMIC_SPECIES
As 74.92 As.upf
Cr 52.00 Cr.upf
CELL_PARAMETERS angstrom
-1.1564 -1.2836 4.6811
3.7181 -3.0246 1.3876
-0.6949 4.7206 -1.4598
ATOMIC_POSITIONS crystal
As 0.1001 0.5000 0.6001
Cr 0.7601 0.0000 0.7601
As 0.2970 0.3104 0.9866
As 0.6761 0.6896 0.9866
```

No. 5
The following is a DFT calculation (PBE) of CrAs after structural relaxation. Values from VASP.

Results
Crystal system: monoclinic

Quantum ESPRESSO input file:
```
&SYSTEM
  ibrav = 0, nat = 6, ntyp = 2
/
ATOMIC_SPECIES
As 74.92 As.upf
Cr 52.00 Cr.upf
CELL_PARAMETERS angstrom
1.5236 5.2541 -0.2469
-1.5236 5.2541 -0.2469
0.0000 1.4909 5.6167
ATOMIC_POSITIONS crystal
As 0.3685 0.3685 0.7774
Cr 0.9933 0.9933 0.0033
Cr 0.1083 0.1083 0.3613
Cr 0.7118 0.7118 0.0456
As 0.6294 0.6294 0.6969
As 0.3554 0.3554 0.2821
```

No. 6
The following is a DFT calculation (PBE) of Cr2As after structural relaxation. Values from VASP.

Results
Crystal system: orthorhombic

Quantum ESPRESSO input file:
```
&SYSTEM
  ibrav = 0, nat = 6, ntyp = 2
/
ATOMIC_SPECIES
Cr 52.00 Cr.upf
As 74.92 As.upf
CELL_PARAMETERS angstrom
1.4358 -6.3775 0.0000
1.4358 6.3775 0.0000
0.0000 0.0000 4.4981
ATOMIC_POSITIONS crystal
Cr 0.1016 0.8984 0.7500
Cr 0.4622 0.5378 0.7500
As 0.8007 0.1993 0.7500
As 0.1993 0.8007 0.2500
Cr 0.8984 0.1016 0.2500
Cr 0.5378 0.4622 0.2500
```

No. 7
The following is a DFT calculation (PBE) of Cr2As after structural relaxation. Values from VASP.

Results
Crystal system: hexagonal

Quantum ESPRESSO input file:
```
&SYSTEM
  ibrav = 0, nat = 6, ntyp = 2
/
ATOMIC_SPECIES
Cr 52.00 Cr.upf
As 74.92 As.upf
CELL_PARAMETERS angstrom
3.1702 0.6724 2.7827
-3.9403 -0.8465 1.4152
1.0479 -4.8958 -0.0108
ATOMIC_POSITIONS crystal
Cr 0.3333 0.6667 0.2500
Cr 0.0000 0.0000 0.0000
Cr 0.6667 0.3333 0.7500
Cr 0.0000 0.0000 0.5000
As 0.3333 0.6667 0.7500
As 0.6667 0.3333 0.2500
```

No. 8
The following is a DFT calculation (PBE) of Cr2As after structural relaxation. Values from VASP.

Results
Crystal system: tetragonal

Quantum ESPRESSO input file:
```
&SYSTEM
  ibrav = 0, nat = 6, ntyp = 2
/
ATOMIC_SPECIES
Cr 52.00 Cr.upf
As 74.92 As.upf
CELL_PARAMETERS angstrom
-2.7601 2.7601 2.5860
2.7601 -2.7601 2.5860
2.7601 2.7601 -2.5860
ATOMIC_POSITIONS crystal
Cr 0.1435 0.3565 0.5000
As 0.2500 0.2500 0.0000
Cr 0.6435 0.1435 0.7870
Cr 0.3565 0.8565 0.2130
Cr 0.8565 0.6435 0.5000
As 0.7500 0.7500 0.0000
```

Number 1: formation energy 0.284 eV/atom. Number 2: formation energy -0.091 eV/atom. Number 3: formation energy 0.192 eV/atom. Number 4: formation energy 0.101 eV/atom. Number 5: formation energy 0.124 eV/atom. Number 6: formation energy 0.207 eV/atom. Number 7: formation energy 0.174 eV/atom. Number 8: formation energy 0.208 eV/atom.